DFT (GGA-PBE) results for an optimized crystal structure of Tc2Bi2F.

Cell and atoms, written as CIF:
```
data_Tc2Bi2F
_chemical_formula_sum 'Tc4 Bi4 F2'
_space_group_name_H-M_alt 'P 1'
_space_group_IT_number 1
_cell_length_a 3.6023
_cell_length_b 3.6023
_cell_length_c 16.1792
_cell_angle_alpha 90.00
_cell_angle_beta 90.00
_cell_angle_gamma 90.00
loop_
_space_group_symop_operation_xyz
'x,y,z'
loop_
_atom_site_label
_atom_site_type_symbol
_atom_site_fract_x
_atom_site_fract_y
_atom_site_fract_z
_atom_site_occupancy
Tc1 Tc 0.0000 0.5000 0.2500 1
Tc2 Tc 0.0000 0.5000 0.7500 1
Tc3 Tc 0.5000 0.0000 0.2500 1
Tc4 Tc 0.5000 0.0000 0.7500 1
Bi1 Bi 0.0000 0.0000 0.1077 1
Bi2 Bi 0.0000 0.0000 0.8923 1
Bi3 Bi 0.5000 0.5000 0.3923 1
Bi4 Bi 0.5000 0.5000 0.6077 1
F1 F 0.0000 0.0000 0.5000 1
F2 F 0.5000 0.5000 0.0000 1
```

Values from the calculation:
size of the total moment: 0.000 μB/f.u.

DFT (GGA-PBE) results for an optimized crystal structure of TcBiF3.

Cell and atoms, written as CIF:
```
data_TcBiF3
_chemical_formula_sum 'Tc1 Bi1 F3'
_space_group_name_H-M_alt 'P 1'
_space_group_IT_number 1
_cell_length_a 4.6855
_cell_length_b 4.6855
_cell_length_c 4.6855
_cell_angle_alpha 90.00
_cell_angle_beta 90.00
_cell_angle_gamma 90.00
loop_
_space_group_symop_operation_xyz
'x,y,z'
loop_
_atom_site_label
_atom_site_type_symbol
_atom_site_fract_x
_atom_site_fract_y
_atom_site_fract_z
_atom_site_occupancy
Tc1 Tc 0.0000 0.0000 0.0000 1
Bi1 Bi 0.5000 0.5000 0.5000 1
F1 F 0.0000 0.5000 0.5000 1
F2 F 0.5000 0.0000 0.5000 1
F3 F 0.5000 0.5000 0.0000 1
```

Values from the calculation:
size of the total moment: 5.000 μB/f.u.

DFT (GGA-PBE) results for an optimized crystal structure of TcBi3F.

Cell and atoms, written as CIF:
```
data_TcBi3F
_chemical_formula_sum 'Tc1 Bi3 F1'
_space_group_name_H-M_alt 'P 1'
_space_group_IT_number 1
_cell_length_a 4.9677
_cell_length_b 4.9677
_cell_length_c 4.9677
_cell_angle_alpha 90.00
_cell_angle_beta 90.00
_cell_angle_gamma 90.00
loop_
_space_group_symop_operation_xyz
'x,y,z'
loop_
_atom_site_label
_atom_site_type_symbol
_atom_site_fract_x
_atom_site_fract_y
_atom_site_fract_z
_atom_site_occupancy
Tc1 Tc 0.0000 0.0000 0.0000 1
Bi1 Bi 0.0000 0.5000 0.5000 1
Bi2 Bi 0.5000 0.0000 0.5000 1
Bi3 Bi 0.5000 0.5000 0.0000 1
F1 F 0.5000 0.5000 0.5000 1
```

Values from the calculation:
size of the total moment: 2.361 μB/f.u.

DFT (GGA-PBE) results for an optimized crystal structure of BiTeF3.

Cell and atoms, written as CIF:
```
data_BiTeF3
_chemical_formula_sum 'Bi1 Te1 F3'
_space_group_name_H-M_alt 'P 1'
_space_group_IT_number 1
_cell_length_a 4.5302
_cell_length_b 4.5302
_cell_length_c 4.5302
_cell_angle_alpha 90.00
_cell_angle_beta 90.00
_cell_angle_gamma 90.00
loop_
_space_group_symop_operation_xyz
'x,y,z'
loop_
_atom_site_label
_atom_site_type_symbol
_atom_site_fract_x
_atom_site_fract_y
_atom_site_fract_z
_atom_site_occupancy
Bi1 Bi 0.0000 0.0000 0.0000 1
Te1 Te 0.5000 0.5000 0.5000 1
F1 F 0.0000 0.5000 0.5000 1
F2 F 0.5000 0.0000 0.5000 1
F3 F 0.5000 0.5000 0.0000 1
```

Values from the calculation:
size of the total moment: 0.000 μB/f.u.

Record-wise calculated total energy values, in eV per atom: -6.306 -4.636 -4.469 -3.348
Record-wise formation energy (no corrections) values, in eV per atom: -0.233 -0.664 0.307 -0.820